An optimized crystal structure of BaInAgSn2. Source: the Alexandria database, functional PBE.

Properties
ΔH_f (0 K) = -0.363 eV/atom
N(E_F) = 1.8 states/eV/f.u.
Space group = I-4m2 (119)

Cell lengths 6.9529, 6.9529, 6.9529 Å; angles 137.97, 137.97, 60.95 degrees
Last column: nearest neighbours and their distance in Å.
Fractional positions:
Ba 0.0000 0.0000 0.0000  8 Sn 3.81, 4 In 3.90, 4 Ag 3.90
In 0.7500 0.2500 0.5000  4 Sn 2.94
Ag 0.2500 0.7500 0.5000  4 Sn 2.94
Sn 0.3795 0.3795 0.0000  1 Sn 2.89, 2 In 2.94, 2 Ag 2.94
Sn 0.6205 0.6205 0.0000  1 Sn 2.89, 2 In 2.94, 2 Ag 2.94